Density functional theory data (GGA-PBEsol) for a relaxed TcOs3Br crystal.

Cell lengths 4.452, 4.452, 4.452 Å; angles 90.00, 90.00, 90.00 degrees
Atoms (fractional coordinates):
Os: 0.000 0.500 0.000
Os: 0.000 0.000 0.500
Os: 0.500 0.000 0.000
Tc: 0.500 0.500 0.500
Br: 0.000 0.000 0.000

## Properties
space-group type = Pm-3m (221)
formation energy without anion corrections = 62.3 kcal/mol of atoms
final energy = -36.28 eV/cell
total magnetic moment = 1.59 μB/f.u.

Density functional theory data (GGA-PBEsol) for a relaxed TcOsBr crystal.

Cell lengths 4.230, 4.230, 4.230 Å; angles 60.00, 60.00, 60.00 degrees
Atoms (fractional coordinates):
Os: 0.250 0.250 0.250
Tc: 0.000 0.000 0.000
Br: 0.500 0.500 0.500

## Properties
space-group type = F-43m (216)
formation energy without anion corrections = 28.4 kcal/mol of atoms
final energy = -21.65 eV/cell
total magnetic moment = 0.00 μB/f.u.

Density functional theory data (GGA-PBEsol) for a relaxed Tc2OsBr crystal.

Cell lengths 2.854, 4.395, 5.056 Å; angles 93.22, 106.40, 90.00 degrees
Atoms (fractional coordinates):
Os: 0.278 0.789 0.556
Tc: 0.009 0.972 0.018
Tc: 0.717 0.244 0.434
Br: 0.496 0.495 0.992

## Properties
space-group type = Cm (8)
formation energy without anion corrections = 16.4 kcal/mol of atoms
final energy = -33.77 eV/cell
relative energy among the computed polymorphs = 6.58 kJ per mole of atoms
total magnetic moment = 0.00 μB/f.u.

Density functional theory data (GGA-PBEsol) for a relaxed Tc2OsBr crystal.

Cell lengths 2.760, 2.760, 9.289 Å; angles 90.00, 90.00, 118.75 degrees
Atoms (fractional coordinates):
Os: 0.500 0.500 0.000
Tc: 0.000 0.000 0.236
Tc: 0.000 0.000 0.764
Br: 0.500 0.500 0.500

## Properties
space-group type = Cmmm (65)
formation energy without anion corrections = 20.4 kcal/mol of atoms
final energy = -33.08 eV/cell
relative energy among the computed polymorphs = 23.22 kJ per mole of atoms
total magnetic moment = 0.00 μB/f.u.

Density functional theory data (GGA-PBEsol) for a relaxed Tc2OsBr crystal.

Cell lengths 2.861, 3.997, 5.349 Å; angles 90.00, 104.59, 90.00 degrees
Atoms (fractional coordinates):
Os: 0.500 0.500 0.500
Tc: 0.121 0.000 0.742
Tc: 0.879 0.000 0.258
Br: 0.500 0.500 0.000

## Properties
space-group type = P2/m (10)
formation energy without anion corrections = 17.3 kcal/mol of atoms
final energy = -33.61 eV/cell
relative energy among the computed polymorphs = 10.22 kJ per mole of atoms
total magnetic moment = 0.00 μB/f.u.

Density functional theory data (GGA-PBEsol) for a relaxed Tc2OsBr crystal.

Cell lengths 2.855, 2.855, 7.390 Å; angles 90.00, 90.00, 90.00 degrees
Atoms (fractional coordinates):
Os: 0.500 0.500 0.774
Tc: 0.000 0.000 0.998
Tc: 0.500 0.500 0.246
Br: 0.000 0.000 0.482

## Properties
space-group type = P4mm (99)
formation energy without anion corrections = 14.9 kcal/mol of atoms
final energy = -34.04 eV/cell
relative energy among the computed polymorphs = 0.00 kJ per mole of atoms
total magnetic moment = 0.00 μB/f.u.

Density functional theory data (GGA-PBEsol) for a relaxed Te2OsBr crystal.

Cell lengths 3.300, 4.793, 5.319 Å; angles 90.00, 90.00, 90.00 degrees
Atoms (fractional coordinates):
Te: 0.000 0.000 0.000
Te: 0.500 0.000 0.500
Os: 0.000 0.500 0.500
Br: 0.500 0.500 0.000

## Properties
space-group type = Pmmm (47)
formation energy without anion corrections = 26.2 kcal/mol of atoms
final energy = -16.59 eV/cell
relative energy among the computed polymorphs = 3.27 kJ per mole of atoms
total magnetic moment = 0.00 μB/f.u.

Density functional theory data (GGA-PBEsol) for a relaxed Te2OsBr crystal.

Cell lengths 4.908, 4.908, 4.908 Å; angles 60.00, 60.00, 60.00 degrees
Atoms (fractional coordinates):
Te: 0.000 0.000 0.000
Te: 0.750 0.750 0.750
Os: 0.250 0.250 0.250
Br: 0.500 0.500 0.500

## Properties
space-group type = F-43m (216)
formation energy without anion corrections = 25.4 kcal/mol of atoms
final energy = -16.73 eV/cell
relative energy among the computed polymorphs = 0.00 kJ per mole of atoms
total magnetic moment = 0.01 μB/f.u.